# 1
# TlFeS2

TlFeS2 after structural relaxation (PBE-GGA, Alexandria via LeMat-Bulk).

**Formation energy without anion corrections**: 0.582 eV/atom
**Space group**: R-3m, No. 166

Geometry as extended XYZ:
```
4
Lattice="1.759 0.000 9.707 -0.880 1.524 9.707 -0.880 -1.524 9.707" Properties=species:S:1:pos:R:3 pbc="T T T"
S 0.000 0.000 27.047
S 0.000 0.000 2.075
Tl 0.000 0.000 14.561
Fe 0.000 0.000 0.000
```



# 2
# ThSeO

ThSeO after structural relaxation (PBE-GGA, Alexandria via LeMat-Bulk).

**Formation energy without anion corrections**: -2.851 eV/atom
**Space group**: P2_1/c, No. 14

Geometry as extended XYZ:
```
12
Lattice="-1.140 1.458 -6.523 5.446 -2.809 -1.579 -2.749 -6.125 1.412" Properties=species:S:1:pos:R:3 pbc="T T T"
Th 0.477 -1.431 -3.805
Th 1.080 -6.045 -2.885
Th -1.039 -4.855 0.369
Th 2.596 -2.620 -7.059
O -0.625 -6.270 -1.374
O 2.182 -1.206 -5.316
O 3.109 -5.890 -1.851
O -1.552 -1.585 -4.839
Se 4.411 -2.749 -3.181
Se 0.635 -4.138 -5.205
Se -2.854 -4.727 -3.509
Se 0.923 -3.338 -1.485
```



# 3
# MnBAu2Se

MnBAu2Se after structural relaxation (PBE-GGA, Alexandria via LeMat-Bulk).

**Formation energy without anion corrections**: 1.356 eV/atom
**Space group**: P4/mmm, No. 123

Geometry as extended XYZ:
```
5
Lattice="-3.202 2.988 2.428 -3.538 -1.843 -2.399 -0.579 -3.495 3.539" Properties=species:S:1:pos:R:3 pbc="T T T"
B -3.659 -1.175 1.784
Mn -1.769 -0.921 -1.199
Au -0.289 -1.748 1.769
Au -1.601 1.494 1.214
Se 0.000 0.000 0.000
```



# 4
# DyZrPb2

DyZrPb2 after structural relaxation (PBE-GGA, Alexandria via LeMat-Bulk).

**Energy relative to the elements**: -225 meV/atom
**Space group**: P4/mmm, No. 123

Geometry as extended XYZ:
```
4
Lattice="-3.237 -1.858 1.291 2.049 -1.454 3.047 -1.629 5.382 3.662" Properties=species:S:1:pos:R:3 pbc="T T T"
Pb -1.248 4.124 2.807
Pb -0.381 1.258 0.856
Zr -0.594 -1.656 2.169
Dy -1.408 1.035 4.000
```